Record 1
# PBEsol LaAs2SeI, relaxed
# DOS at the Fermi energy, states/eV per cell: 7.983
# Calculated density, g cm⁻³: 4.5
# Energy relative to the elements, uncorrected, eV/atom: 0.434
data_LaAs2SeI
_cell_length_a 5.478
_cell_length_b 5.773
_cell_length_c 5.773
_cell_angle_alpha 90.00
_cell_angle_beta 90.00
_cell_angle_gamma 90.00
_space_group_name_H-M_alt 'P 1'
_space_group_IT_number 1
loop_
_space_group_symop_operation_xyz
'x,y,z'
loop_
_atom_site_label
_atom_site_type_symbol
_atom_site_fract_x
_atom_site_fract_y
_atom_site_fract_z
As1 As 0.000 0.500 0.000
La1 La 0.000 0.000 0.000
As2 As 0.000 0.000 0.500
I1 I 0.500 0.500 0.500
Se1 Se 0.500 0.000 0.000

=====

Record 2
# PBEsol LiAs3I, relaxed
# DOS at the Fermi energy, states/eV per cell: 5.579
# Calculated density, g cm⁻³: 3.9
# Energy relative to the elements, uncorrected, eV/atom: 1.005
data_LiAs3I
_cell_length_a 5.359
_cell_length_b 5.359
_cell_length_c 5.359
_cell_angle_alpha 90.00
_cell_angle_beta 90.00
_cell_angle_gamma 90.00
_space_group_name_H-M_alt 'P 1'
_space_group_IT_number 1
loop_
_space_group_symop_operation_xyz
'x,y,z'
loop_
_atom_site_label
_atom_site_type_symbol
_atom_site_fract_x
_atom_site_fract_y
_atom_site_fract_z
I1 I 0.000 0.000 0.000
As1 As 0.000 0.500 0.000
Li1 Li 0.500 0.500 0.500
As2 As 0.500 0.000 0.000
As3 As 0.000 0.000 0.500

=====

Record 3
# PBEsol LiAsI2N, relaxed
# DOS at the Fermi energy, states/eV per cell: 3.514
# Calculated density, g cm⁻³: 4.6
# Energy relative to the elements, uncorrected, eV/atom: 0.189
data_LiAsI2N
_cell_length_a 3.691
_cell_length_b 5.866
_cell_length_c 5.866
_cell_angle_alpha 90.00
_cell_angle_beta 90.00
_cell_angle_gamma 90.00
_space_group_name_H-M_alt 'P 1'
_space_group_IT_number 1
loop_
_space_group_symop_operation_xyz
'x,y,z'
loop_
_atom_site_label
_atom_site_type_symbol
_atom_site_fract_x
_atom_site_fract_y
_atom_site_fract_z
I1 I 0.000 0.500 0.000
As1 As 0.000 0.000 0.000
N1 N 0.500 0.000 0.000
Li1 Li 0.500 0.500 0.500
I2 I 0.000 0.000 0.500

=====

Record 4
# PBEsol Li6AsS5I, relaxed
# Calculated density, g cm⁻³: 2.6
# Energy relative to the elements, uncorrected, eV/atom: -1.002
data_Li6AsS5I
_cell_length_a 7.135
_cell_length_b 7.135
_cell_length_c 12.504
_cell_angle_alpha 73.77
_cell_angle_beta 73.77
_cell_angle_gamma 59.44
_space_group_name_H-M_alt 'P 1'
_space_group_IT_number 1
loop_
_space_group_symop_operation_xyz
'x,y,z'
loop_
_atom_site_label
_atom_site_type_symbol
_atom_site_fract_x
_atom_site_fract_y
_atom_site_fract_z
S1 S 0.823 0.280 0.572
Li1 Li 0.203 0.183 0.773
S2 S 0.049 0.556 0.329
I1 I 0.744 0.243 0.270
Li2 Li 0.417 0.924 0.546
Li3 Li 0.694 0.860 0.278
Li4 Li 0.981 0.988 0.963
S3 S 0.857 0.363 0.885
S4 S 0.793 0.786 0.582
Li5 Li 0.183 0.203 0.273
S5 S 0.556 0.049 0.829
I2 I 0.243 0.744 0.770
S6 S 0.280 0.823 0.072
S7 S 0.363 0.857 0.385
Li6 Li 0.480 0.526 0.965
Li7 Li 0.924 0.417 0.046
As1 As 0.994 0.480 0.513
Li8 Li 0.667 0.343 0.764
S8 S 0.309 0.295 0.574
Li9 Li 0.526 0.480 0.465
Li10 Li 0.860 0.694 0.778
S9 S 0.786 0.793 0.082
As2 As 0.480 0.994 0.013
S10 S 0.295 0.309 0.074
Li11 Li 0.343 0.667 0.264
Li12 Li 0.988 0.981 0.463

=====

no.,volume (Å³ per atom)
1,36.5
2,30.8
3,25.4
4,20.0